The following is a PBE calculation of a relaxed CaZrAl crystal, from the Alexandria database.

Cell and atoms, written as CIF:
```
data_CaZrAl
_cell_length_a 6.4686
_cell_length_b 4.7823
_cell_length_c 10.4383
_cell_angle_alpha 90.00
_cell_angle_beta 115.08
_cell_angle_gamma 90.00
_symmetry_space_group_name_H-M 'P 1'
_symmetry_Int_Tables_number 1
loop_
_symmetry_equiv_pos_as_xyz
'x,y,z'
loop_
_atom_site_label
_atom_site_type_symbol
_atom_site_fract_x
_atom_site_fract_y
_atom_site_fract_z
_atom_site_occupancy
Ca1 Ca 0.3460 0.0000 0.7399 1
Ca2 Ca 0.3460 0.5000 0.2399 1
Ca3 Ca 0.1821 0.0000 0.3831 1
Ca4 Ca 0.1821 0.5000 0.8831 1
Al1 Al 0.7020 0.0000 0.3518 1
Al2 Al 0.7020 0.5000 0.8518 1
Al3 Al 0.4646 0.0000 0.0722 1
Al4 Al 0.4646 0.5000 0.5722 1
Zr1 Zr 0.7671 0.0000 0.6617 1
Zr2 Zr 0.7671 0.5000 0.1617 1
Zr3 Zr 0.9121 0.0000 0.0087 1
Zr4 Zr 0.9121 0.5000 0.5087 1
```

Results
Total magnetic moment ... 0.00 μB per cell
Distance to the lowest polymorph of the same formula ... 107 meV/atom
Electronic total energy ... -57.58 eV per cell
Crystal system ... monoclinic


The following is a PBE calculation of a relaxed CaZr2Al crystal, from the Alexandria database.

Cell and atoms, written as CIF:
```
data_CaZr2Al
_cell_length_a 5.1270
_cell_length_b 5.1270
_cell_length_c 5.1270
_cell_angle_alpha 60.00
_cell_angle_beta 60.00
_cell_angle_gamma 60.00
_symmetry_space_group_name_H-M 'P 1'
_symmetry_Int_Tables_number 1
loop_
_symmetry_equiv_pos_as_xyz
'x,y,z'
loop_
_atom_site_label
_atom_site_type_symbol
_atom_site_fract_x
_atom_site_fract_y
_atom_site_fract_z
_atom_site_occupancy
Ca1 Ca 0.7500 0.7500 0.7500 1
Al1 Al 0.5000 0.5000 0.5000 1
Zr1 Zr 0.0000 0.0000 0.0000 1
Zr2 Zr 0.2500 0.2500 0.2500 1
```

Results
Total magnetic moment ... 2.67 μB per cell
Electronic total energy ... -22.18 eV per cell
Crystal system ... cubic